No. 1
DFT (PBE) results for crystalline La2MoS at its relaxed geometry.

Unit cell a=7.558 b=7.558 c=6.648 alpha=55.36 beta=55.36 gamma=90.00
Sites, in units of the cell vectors:
La (0.624, 0.125, 0.250)
La (0.126, 0.625, 0.250)
La (0.375, 0.376, 0.750)
La (0.875, 0.874, 0.750)
Mo (0.750, 0.250, 0.500)
Mo (0.000, 0.000, 0.000)
S (0.250, 0.750, 0.500)
S (0.500, 0.500, 0.000)

space group = No. 122
density = 5966 kg/m³
formation energy (no corrections) = -0.4 eV per formula unit
calculated volume = 225.9 Å³/cell
density of states at the Fermi level = 6.35 states/eV per cell
total moment = 0.500 μB/atom

***

No. 2
DFT (PBE) results for crystalline LaMo2S at its relaxed geometry.

Unit cell a=4.299 b=4.299 c=9.558 alpha=77.00 beta=77.00 gamma=90.00
Sites, in units of the cell vectors:
Mo (0.511, 0.625, 0.250)
Mo (0.875, 0.489, 0.750)
Mo (0.239, 0.125, 0.250)
Mo (0.375, 0.761, 0.750)
S (0.500, 0.500, 0.000)
S (0.250, 0.750, 0.500)
La (0.750, 0.250, 0.500)
La (0.000, 0.000, 0.000)

space group = No. 122
density = 7194 kg/m³
formation energy (no corrections) = 0.3 eV per formula unit
calculated volume = 167.5 Å³/cell
density of states at the Fermi level = 6.34 states/eV per cell
total moment = 0.000 μB/atom

***

No. 3
DFT (PBE) results for crystalline La3MoS at its relaxed geometry.

Unit cell a=5.412 b=5.412 c=5.412 alpha=90.00 beta=90.00 gamma=90.00
Sites, in units of the cell vectors:
La (0.500, 0.000, 0.000)
La (0.000, 0.000, 0.500)
La (0.000, 0.500, 0.000)
S (0.000, 0.000, 0.000)
Mo (0.500, 0.500, 0.500)

space group = No. 221
density = 5706 kg/m³
formation energy (no corrections) = -0.1 eV per formula unit
calculated volume = 158.5 Å³/cell
density of states at the Fermi level = 8.09 states/eV per cell
total moment = 0.000 μB/atom

***

No. 4
DFT (PBE) results for crystalline LaMoS2 at its relaxed geometry.

Unit cell a=4.726 b=4.726 c=4.726 alpha=60.00 beta=60.00 gamma=60.00
Sites, in units of the cell vectors:
Mo (0.000, 0.000, 0.000)
S (0.750, 0.750, 0.750)
S (0.250, 0.250, 0.250)
La (0.500, 0.500, 0.500)

space group = No. 225
density = 6651 kg/m³
formation energy (no corrections) = -3.0 eV per formula unit
calculated volume = 74.6 Å³/cell
density of states at the Fermi level = 2.00 states/eV per cell
total moment = 0.250 μB/atom

***

No. 5
DFT (PBE) results for crystalline LaMoS2 at its relaxed geometry.

Unit cell a=8.125 b=8.125 c=8.125 alpha=30.97 beta=30.97 gamma=30.97
Sites, in units of the cell vectors:
Mo (0.000, 0.000, 0.000)
La (0.500, 0.500, 0.500)
S (0.105, 0.105, 0.105)
S (0.895, 0.895, 0.895)

space group = No. 166
density = 3941 kg/m³
formation energy (no corrections) = -2.2 eV per formula unit
calculated volume = 126.0 Å³/cell
density of states at the Fermi level = 1.66 states/eV per cell
total moment = 1.147 μB/atom

***

No. 6
DFT (PBE) results for crystalline LaMoS2 at its relaxed geometry.

Unit cell a=9.172 b=9.172 c=9.172 alpha=20.86 beta=20.86 gamma=20.86
Sites, in units of the cell vectors:
S (0.891, 0.891, 0.891)
S (0.109, 0.109, 0.109)
La (0.000, 0.000, 0.000)
Mo (0.500, 0.500, 0.500)

space group = No. 166
density = 5795 kg/m³
formation energy (no corrections) = -2.0 eV per formula unit
calculated volume = 85.7 Å³/cell
density of states at the Fermi level = 4.36 states/eV per cell
total moment = 0.189 μB/atom

***

No. 7
DFT (PBE) results for crystalline LaTi2MoS at its relaxed geometry.

Unit cell a=4.819 b=4.753 c=4.819 alpha=90.00 beta=90.00 gamma=90.00
Sites, in units of the cell vectors:
Ti (0.500, 0.000, 0.000)
Ti (0.000, 0.000, 0.500)
Mo (0.000, 0.500, 0.000)
La (0.000, 0.000, 0.000)
S (0.500, 0.500, 0.500)

space group = No. 123
density = 5456 kg/m³
formation energy (no corrections) = 8.4 eV per formula unit
calculated volume = 110.4 Å³/cell
density of states at the Fermi level = 5.78 states/eV per cell
total moment = 0.000 μB/atom

***

No. 8
DFT (PBE) results for crystalline LaSbMo2 at its relaxed geometry.

Unit cell a=5.648 b=5.681 c=3.146 alpha=73.85 beta=90.15 gamma=119.85
Sites, in units of the cell vectors:
Mo (0.500, 0.000, 0.500)
Mo (0.000, 0.000, 0.000)
Sb (0.000, 0.500, 0.500)
La (0.500, 0.500, 0.000)

space group = No. 12
density = 9057 kg/m³
formation energy (no corrections) = 1.9 eV per formula unit
calculated volume = 83.0 Å³/cell
density of states at the Fermi level = 4.50 states/eV per cell
total moment = 0.000 μB/atom

***

No. 9
DFT (PBE) results for crystalline LaSbMo2 at its relaxed geometry.

Unit cell a=3.703 b=4.689 c=4.689 alpha=90.00 beta=90.00 gamma=90.00
Sites, in units of the cell vectors:
Mo (0.000, 0.000, 0.000)
Mo (0.000, 0.500, 0.500)
Sb (0.500, 0.500, 0.000)
La (0.500, 0.000, 0.500)

space group = No. 123
density = 9228 kg/m³
formation energy (no corrections) = 1.5 eV per formula unit
calculated volume = 81.4 Å³/cell
density of states at the Fermi level = 5.57 states/eV per cell
total moment = 0.415 μB/atom

***

No. 10
DFT (PBE) results for crystalline LaSbMo at its relaxed geometry.

Unit cell a=4.783 b=4.783 c=4.783 alpha=60.00 beta=60.00 gamma=60.00
Sites, in units of the cell vectors:
Mo (0.250, 0.250, 0.250)
Sb (0.000, 0.000, 0.000)
La (0.500, 0.500, 0.500)

space group = No. 216
density = 7651 kg/m³
formation energy (no corrections) = 0.4 eV per formula unit
calculated volume = 77.4 Å³/cell
density of states at the Fermi level = 3.12 states/eV per cell
total moment = 0.000 μB/atom

***

No. 11
DFT (PBE) results for crystalline LaSbMo at its relaxed geometry.

Unit cell a=3.740 b=3.740 c=6.447 alpha=90.00 beta=90.00 gamma=120.00
Sites, in units of the cell vectors:
Sb (0.333, 0.667, 0.618)
Mo (0.667, 0.333, 0.366)
La (0.000, 0.000, 0.016)

space group = No. 156
density = 7583 kg/m³
formation energy (no corrections) = 0.5 eV per formula unit
calculated volume = 78.1 Å³/cell
density of states at the Fermi level = 2.72 states/eV per cell
total moment = 0.000 μB/atom

***

No. 12
DFT (PBE) results for crystalline LaSbMo2 at its relaxed geometry.

Unit cell a=4.522 b=4.522 c=10.361 alpha=77.40 beta=77.40 gamma=90.00
Sites, in units of the cell vectors:
Mo (0.375, 0.499, 0.750)
Mo (0.875, 0.751, 0.750)
Mo (0.249, 0.625, 0.250)
Mo (0.501, 0.125, 0.250)
Sb (0.500, 0.500, 0.000)
Sb (0.250, 0.750, 0.500)
La (0.000, 0.000, 0.000)
La (0.750, 0.250, 0.500)

space group = No. 122
density = 7457 kg/m³
formation energy (no corrections) = 1.8 eV per formula unit
calculated volume = 201.5 Å³/cell
density of states at the Fermi level = 15.53 states/eV per cell
total moment = 0.000 μB/atom

***

> Among the records above, which one has the highest calculated volume?

La2MoS